# Gd2YMg3Ir3 (PBE-GGA, relaxed)
# V ... 374.6 Å³/cell
# E_tot ... -53.0 eV per formula unit
data_Gd2YMg3Ir3
_space_group_name_H-M_alt 'A m m 2'
_space_group_IT_number 38
_cell_length_a 4.069
_cell_length_b 12.633
_cell_length_c 7.287
_cell_angle_alpha 90.00
_cell_angle_beta 90.00
_cell_angle_gamma 90.00
loop_
_space_group_symop_operation_xyz
'x,y,z'
'-x,-y,z'
'-x,y,z'
'x,-y,z'
'x,y+1/2,z+1/2'
'-x,-y+1/2,z+1/2'
'-x,y+1/2,z+1/2'
'x,-y+1/2,z+1/2'
loop_
_atom_site_label
_atom_site_type_symbol
_atom_site_fract_x
_atom_site_fract_y
_atom_site_fract_z
Gd1 Gd 0.000 0.205 0.000
Y1 Y 0.000 0.000 0.386
Mg1 Mg 0.500 0.000 0.040
Mg2 Mg 0.500 0.122 0.673
Ir1 Ir 0.000 0.000 0.795
Ir2 Ir 0.500 0.167 0.295